A plane-wave DFT calculation with PBE-GGA was carried out for an optimized crystal structure of K4BrF3.

Output
Raw total energy = -3.8605 eV per atom
V = 188.7 Å³ per cell

a b c (Å): 3.9362 3.9362 14.0657
angles (deg): 90.00 90.00 120.00
Sites, in units of the cell vectors:
1 K 0.3333 0.6667 0.3403
2 K 0.3333 0.6667 0.8858
3 K 0.6667 0.3333 0.1142
4 K 0.6667 0.3333 0.6597
5 Br 0.0000 0.0000 0.5000
6 F 0.0000 0.0000 0.0000
7 F 0.0000 0.0000 0.2286
8 F 0.0000 0.0000 0.7714